Tc2BPSe, relaxed, DFT PBE; ΔE_f (raw) = 0.828 eV/atom
1.0
4.278 0.000 0.000
0.000 3.939 0.000
0.000 0.000 4.278
P B Tc Se
1 1 2 1
Direct
0.500 0.500 0.500 P
0.000 0.000 0.000 B
0.000 0.000 0.500 Tc
0.500 0.000 0.000 Tc
0.000 0.500 0.000 Se

Mg3PdSe, relaxed, DFT PBE; ΔE_f (raw) = -0.238 eV/atom; excess energy over the best structure of this formula in the dataset = 0.000 eV per atom
1.0
-4.354 2.272 -0.693
-2.061 -4.333 -1.256
-1.180 -0.814 4.748
Mg Se Pd
3 1 1
Direct
0.000 0.500 0.000 Mg
0.000 0.000 0.500 Mg
0.500 0.000 0.000 Mg
0.500 0.500 0.500 Se
0.000 0.000 0.000 Pd

KBa2Ta, relaxed, DFT PBE; excess energy over the best structure of this formula in the dataset = 0.376 eV per atom; ΔE_f = 4.79 eV/f.u.
1.0
6.222 0.000 0.000
3.111 5.388 0.000
3.111 1.796 5.080
Ba K Ta
2 1 1
Direct
0.000 0.000 0.000 Ba
0.250 0.250 0.250 Ba
0.500 0.500 0.500 K
0.750 0.750 0.750 Ta

Sm2Ni3Pt12Rh, relaxed, DFT PBE; ΔE_f = 1.45 eV/f.u.
1.0
-4.541 0.162 6.709
-5.644 -5.620 1.489
0.872 -5.489 5.896
Sm Ni Pt Rh
2 3 12 1
Direct
0.624 0.624 0.624 Sm
0.376 0.376 0.376 Sm
0.500 0.000 0.000 Ni
0.000 0.500 0.000 Ni
0.000 0.000 0.500 Ni
0.376 0.376 0.870 Pt
0.874 0.874 0.389 Pt
0.389 0.874 0.874 Pt
0.870 0.376 0.376 Pt
0.874 0.389 0.874 Pt
0.376 0.870 0.376 Pt
0.624 0.624 0.130 Pt
0.126 0.126 0.611 Pt
0.611 0.126 0.126 Pt
0.130 0.624 0.624 Pt
0.126 0.611 0.126 Pt
0.624 0.130 0.624 Pt
0.000 0.000 0.000 Rh

NaIBr3, relaxed, DFT PBE; ΔE_f (raw) = -0.381 eV/atom; excess energy over the best structure of this formula in the dataset = 0.243 eV per atom
1.0
-3.517 -3.173 -3.535
4.063 -4.288 -0.193
-2.461 -2.545 4.733
I Na Br
1 1 3
Direct
0.000 0.000 0.000 I
0.500 0.500 0.500 Na
0.000 0.500 0.000 Br
0.000 0.000 0.500 Br
0.500 0.000 0.000 Br

ReW2, relaxed, DFT PBE; excess energy over the best structure of this formula in the dataset = 0.092 eV per atom; ΔE_f = 0.42 eV/f.u.
1.0
5.419 0.000 0.000
0.000 4.407 0.000
0.000 0.000 8.010
Re W
4 8
Direct
0.169 0.250 0.927 Re
0.331 0.750 0.427 Re
0.669 0.250 0.573 Re
0.831 0.750 0.073 Re
0.010 0.250 0.250 W
0.167 0.250 0.582 W
0.333 0.750 0.082 W
0.490 0.750 0.750 W
0.510 0.250 0.250 W
0.667 0.250 0.918 W
0.833 0.750 0.418 W
0.990 0.750 0.750 W

Ac2Cd3In, relaxed, DFT PBE; ΔE_f = -2.25 eV/f.u.
1.0
-1.779 2.961 5.520
-1.959 -6.153 0.840
9.729 -0.413 0.431
Ac Cd In
4 6 2
Direct
0.250 0.750 0.500 Ac
0.755 0.755 0.000 Ac
0.750 0.250 0.500 Ac
0.245 0.245 0.000 Ac
0.333 0.832 0.166 Cd
0.168 0.667 0.834 Cd
0.667 0.168 0.834 Cd
0.832 0.333 0.166 Cd
0.167 0.167 0.333 Cd
0.833 0.833 0.667 Cd
0.666 0.666 0.332 In
0.334 0.334 0.668 In

Ca2Np2O7, relaxed, DFT PBE; ΔE_f (raw) = -2.984 eV/atom
1.0
-5.761 -0.121 5.246
-0.935 -6.206 4.619
1.640 0.517 7.600
Ca Np O
4 4 14
Direct
0.625 0.625 0.625 Ca
0.625 0.625 0.125 Ca
0.625 0.125 0.625 Ca
0.125 0.625 0.625 Ca
0.625 0.125 0.125 Np
0.125 0.625 0.125 Np
0.125 0.125 0.625 Np
0.125 0.125 0.125 Np
0.202 0.202 0.798 O
0.202 0.798 0.202 O
0.452 0.048 0.452 O
0.452 0.452 0.048 O
0.750 0.750 0.750 O
0.798 0.202 0.202 O
0.452 0.048 0.048 O
0.048 0.452 0.452 O
0.048 0.048 0.452 O
0.048 0.452 0.048 O
0.202 0.798 0.798 O
0.500 0.500 0.500 O
0.798 0.202 0.798 O
0.798 0.798 0.202 O